# 1
## Hf5ReOs4 (GGA-PBE)

Data for a relaxed Hf5ReOs4 crystal.

Values from the calculation:
- energy of formation from the pure elements (kJ per mole of atoms) = -62.3

abc: 3.2507 3.2507 16.3476
angles: 90.00 90.00 90.00
Closest atoms and distances in Å follow each position.
Space group P4/mmm (No. 123)
Asymmetric unit:
1 Hf 0.0000 0.0000 0.0000 (multiplicity 1)  8 Os 2.81
2 Hf 0.0000 0.0000 0.2005 (multiplicity 2)  8 Os 2.79-2.83
3 Hf 0.0000 0.0000 0.4005 (multiplicity 2)  4 Re 2.82, 4 Os 2.85
4 Re 0.5000 0.5000 0.5000 (multiplicity 1)  8 Hf 2.82
5 Os 0.5000 0.5000 0.0992 (multiplicity 2)  8 Hf 2.81-2.83
6 Os 0.5000 0.5000 0.2975 (multiplicity 2)  8 Hf 2.79-2.85


# 2
## Hf4Re2Os (GGA-PBE)

Data for a relaxed Hf4Re2Os crystal.

Values from the calculation:
- energy of formation from the pure elements (kJ per mole of atoms) = -24.5

abc: 6.4788 6.4788 6.4872
angles: 90.00 90.00 90.00
Closest atoms and distances in Å follow each position.
Space group I4/mmm (No. 139)
Asymmetric unit:
1 Hf 0.2500 0.2500 0.2500 (multiplicity 8)  2 Os 2.81, 4 Re 2.81
2 Re 0.0000 0.5000 0.0000 (multiplicity 4)  8 Hf 2.81
3 Os 0.0000 0.0000 0.0000 (multiplicity 2)  8 Hf 2.81